[1]
A plane-wave DFT calculation with PBE-GGA was carried out for a relaxed K2Tl6SbPt crystal.

## Properties
Total DFT energy (no corrections) in eV/atom: -2.73
Total moment in μB per cell: 0.00

a b c (Å): 8.6095 8.6095 35.4473
angles (deg): 90.00 90.00 120.00
Space group R-3m (No. 166, hexagonal axes)
Asymmetric unit:
K  0.0000  0.0000  0.1483 (multiplicity 6)
K  0.0000  0.0000  0.2822 (multiplicity 6)
Tl  0.0501  0.5250  0.1154 (multiplicity 18)
Tl  0.0694  0.5347  0.7225 (multiplicity 18)
Sb  0.0000  0.0000  0.3779 (multiplicity 6)
Pt  0.0000  0.0000  0.0000 (multiplicity 3)
Pt  0.0000  0.0000  0.5000 (multiplicity 3)

=====

[2]
A plane-wave DFT calculation with PBE-GGA was carried out for a relaxed Ce2Ga3CuNi12 crystal.

## Properties
ΔH_f (0 K) in eV per atom: -0.155
Total moment in μB per cell: 0.00

a b c (Å): 8.3695 8.3695 12.2706
angles (deg): 90.00 90.00 120.00
Space group R-3m (No. 166, hexagonal axes)
Asymmetric unit:
Ce  0.0000  0.0000  0.1493 (multiplicity 6)
Ga  0.0000  0.5000  0.0000 (multiplicity 9)
Cu  0.0000  0.0000  0.5000 (multiplicity 3)
Ni  0.0000  0.5000  0.3946 (multiplicity 18)
Ni  0.0074  0.5037  0.2000 (multiplicity 18)

=====

[3]
A plane-wave DFT calculation with PBE-GGA was carried out for a relaxed RbEu3Pt crystal.

## Properties
ΔH_f (0 K) in eV per atom: -0.344
Total moment in μB per cell: 21.90

a b c (Å): 5.9600 5.9600 5.9600
angles (deg): 90.00 90.00 90.00
Space group Pm-3m (No. 221)
Asymmetric unit:
Rb  0.0000  0.0000  0.0000 (multiplicity 1)
Eu  0.0000  0.5000  0.5000 (multiplicity 3)
Pt  0.5000  0.5000  0.5000 (multiplicity 1)